Below is YMgSi3 at its PBEsol-relaxed geometry, with properties calculated at the SCAN level.

Results
Calculated volume   139 Å³/cell
Formation energy without anion corrections   5.6 eV per formula unit
N(E_F)   0.608 states/eV/atom
Space-group type   No. 221

Cell lengths 5.176, 5.176, 5.176 Å; angles 90.00, 90.00, 90.00 degrees
Fractional positions:
Mg1 0.500 0.500 0.500
Y1 0.000 0.000 0.000
Si1 0.500 0.000 0.000
Si2 0.000 0.000 0.500
Si3 0.000 0.500 0.000



Below is Na2TiHgMo at its PBEsol-relaxed geometry, with properties calculated at the SCAN level.

Results
Energy relative to the elements   1.18 eV/atom
Calculated volume   133 Å³/cell
N(E_F)   0.568 states/eV/atom
Space-group type   No. 123

Cell lengths 4.341, 5.533, 5.533 Å; angles 90.00, 90.00, 90.00 degrees
Site moments in Bohr magnetons follow the coordinates.
Fractional positions:
Na1 0.000 0.000 0.500  -0.02
Na2 0.000 0.500 0.000  -0.02
Mo1 0.500 0.000 0.000  1.16
Hg1 0.500 0.500 0.500  -0.01
Ti1 0.000 0.000 0.000  -0.57



Below is MnCo2Pt at its PBEsol-relaxed geometry, with properties calculated at the SCAN level.

Results
Energy relative to the elements   -0.23 eV/atom
Calculated volume   49 Å³/cell
N(E_F)   0.574 states/eV/atom
Space-group type   No. 99

Cell lengths 2.685, 2.685, 6.802 Å; angles 90.00, 90.00, 90.00 degrees
Site moments in Bohr magnetons follow the coordinates.
Fractional positions:
Co1 0.500 0.500 0.237  1.83
Co2 0.000 0.000 0.028  2.01
Pt1 0.500 0.500 0.757  0.23
Mn1 0.000 0.000 0.479  3.61



Below is KB6H6 at its PBEsol-relaxed geometry, with properties calculated at the SCAN level.

Results
Calculated volume   281 Å³/cell
N(E_F)   0.000 states/eV/atom
Space-group type   No. 202
Total DFT energy (no corrections)   -6.09 eV per atom

Cell lengths 7.352, 7.352, 7.352 Å; angles 60.00, 60.00, 60.00 degrees
Fractional positions:
H1 0.906 0.382 0.094
H2 0.382 0.094 0.906
H3 0.094 0.906 0.382
H4 0.094 0.618 0.906
H5 0.906 0.618 0.382
H6 0.618 0.382 0.906
H7 0.618 0.094 0.382
H8 0.382 0.906 0.618
H9 0.618 0.906 0.094
H10 0.906 0.094 0.618
H11 0.382 0.618 0.094
H12 0.094 0.382 0.618
B1 0.053 0.777 0.947
B2 0.777 0.223 0.947
B3 0.947 0.223 0.053
B4 0.223 0.053 0.947
B5 0.053 0.947 0.223
B6 0.947 0.777 0.223
B7 0.947 0.053 0.777
B8 0.777 0.053 0.223
B9 0.777 0.947 0.053
B10 0.053 0.223 0.777
B11 0.223 0.947 0.777
B12 0.223 0.777 0.053
K1 0.750 0.750 0.750
K2 0.250 0.250 0.250



Below is Na3MnO3 at its PBEsol-relaxed geometry, with properties calculated at the SCAN level.

Results
Distance to the lowest polymorph of the same formula   0.0 meV/atom
Calculated volume   380 Å³/cell
Formation energy without anion corrections   -12.4 eV per formula unit
N(E_F)   0.026 states/eV/atom
Space-group type   No. 136

Cell lengths 4.430, 9.261, 9.261 Å; angles 90.00, 90.00, 90.00 degrees
Site moments in Bohr magnetons follow the coordinates.
Fractional positions:
O1 0.500 0.605 0.191  0.07
O2 0.000 0.309 0.105  0.07
O3 0.000 0.095 0.905  0.03
O4 0.000 0.895 0.691  0.07
O5 0.500 0.595 0.595  0.03
O6 0.500 0.395 0.809  0.07
O7 0.000 0.905 0.095  0.03
O8 0.000 0.105 0.309  0.07
O9 0.000 0.691 0.895  0.07
O10 0.500 0.405 0.405  0.03
O11 0.500 0.809 0.395  0.07
O12 0.500 0.191 0.605  0.07
Na1 0.500 0.626 0.872  0.00
Na2 0.500 0.150 0.850  0.01
Na3 0.000 0.372 0.874  0.00
Na4 0.000 0.650 0.650  0.01
Na5 0.500 0.128 0.374  0.00
Na6 0.000 0.350 0.350  0.01
Na7 0.500 0.850 0.150  0.01
Na8 0.500 0.872 0.626  0.00
Na9 0.000 0.126 0.628  0.00
Na10 0.000 0.628 0.126  0.00
Na11 0.000 0.874 0.372  0.00
Na12 0.500 0.374 0.128  0.00
Mn1 0.500 0.613 0.387  3.52
Mn2 0.500 0.387 0.613  3.52
Mn3 0.000 0.113 0.113  3.52
Mn4 0.000 0.887 0.887  3.52



Below is IrRu2Rh at its PBEsol-relaxed geometry, with properties calculated at the SCAN level.

Results
Energy relative to the elements   0.00 eV/atom
Distance to the lowest polymorph of the same formula   2.8 meV/atom
Calculated volume   54 Å³/cell
N(E_F)   0.819 states/eV/atom
Space-group type   No. 123

Cell lengths 3.773, 3.773, 3.796 Å; angles 90.00, 90.00, 90.00 degrees
Fractional positions:
Rh1 0.000 0.000 0.500
Ru1 0.000 0.500 0.000
Ru2 0.500 0.000 0.000
Ir1 0.500 0.500 0.500



Below is Ba2NbFeO6 at its PBEsol-relaxed geometry, with properties calculated at the SCAN level.

Results
Calculated volume   133 Å³/cell
Formation energy without anion corrections   -27.8 eV per formula unit
Space-group type   No. 225

Cell lengths 5.736, 5.736, 5.736 Å; angles 60.00, 60.00, 60.00 degrees
Site moments in Bohr magnetons follow the coordinates.
Fractional positions:
O1 0.248 0.752 0.752  0.11
O2 0.752 0.752 0.248  0.11
O3 0.752 0.248 0.248  0.11
O4 0.248 0.248 0.752  0.11
O5 0.248 0.752 0.248  0.11
O6 0.752 0.248 0.752  0.11
Ba1 0.250 0.250 0.250  0.00
Ba2 0.750 0.750 0.750  0.00
Fe1 0.500 0.500 0.500  4.14
Nb1 0.000 0.000 0.000  0.08



Below is Te2PPbI at its PBEsol-relaxed geometry, with properties calculated at the SCAN level.

Results
Calculated volume   200 Å³/cell
Formation energy without anion corrections   4.7 eV per formula unit
N(E_F)   0.903 states/eV/atom
Space-group type   No. 123

Cell lengths 5.803, 5.803, 5.938 Å; angles 90.00, 90.00, 90.00 degrees
Site moments in Bohr magnetons follow the coordinates.
Fractional positions:
Te1 0.000 0.500 0.000  -0.44
Te2 0.500 0.000 0.000  -0.44
I1 0.000 0.000 0.500  -0.07
Pb1 0.000 0.000 0.000  0.02
P1 0.500 0.500 0.500  1.07



Below is CaLaAu at its PBEsol-relaxed geometry, with properties calculated at the SCAN level.

Results
Energy relative to the elements   -0.67 eV/atom
Calculated volume   88 Å³/cell
N(E_F)   1.078 states/eV/atom
Space-group type   No. 107

Cell lengths 3.644, 3.644, 7.094 Å; angles 104.88, 104.88, 90.00 degrees
Fractional positions:
La1 0.366 0.366 0.733
Ca1 0.633 0.633 0.266
Au1 0.001 0.001 0.001



Below is Re2TcTe at its PBEsol-relaxed geometry, with properties calculated at the SCAN level.

Results
Calculated volume   64 Å³/cell
Formation energy without anion corrections   3.2 eV per formula unit
N(E_F)   1.040 states/eV/atom
Space-group type   No. 65

Cell lengths 2.963, 4.925, 4.925 Å; angles 116.96, 90.00, 90.00 degrees
Fractional positions:
Re1 0.000 0.000 0.500
Re2 0.000 0.500 0.000
Te1 0.500 0.500 0.500
Tc1 0.500 0.000 0.000



Below is CaMn3Ni at its PBEsol-relaxed geometry, with properties calculated at the SCAN level.

Results
Energy relative to the elements   1.91 eV/atom
Distance to the lowest polymorph of the same formula   1756.5 meV/atom
Calculated volume   89 Å³/cell
N(E_F)   0.551 states/eV/atom
Space-group type   No. 221

Cell lengths 4.458, 4.458, 4.458 Å; angles 90.00, 90.00, 90.00 degrees
Site moments in Bohr magnetons follow the coordinates.
Fractional positions:
Mn1 0.000 0.000 0.500  3.70
Mn2 0.000 0.500 0.000  3.70
Mn3 0.500 0.000 0.000  3.70
Ni1 0.500 0.500 0.500  0.65
Ca1 0.000 0.000 0.000  -0.20



Below is LiInPt2 at its PBEsol-relaxed geometry, with properties calculated at the SCAN level.

Results
Energy relative to the elements   -0.62 eV/atom
Calculated volume   62 Å³/cell
N(E_F)   0.224 states/eV/atom
Space-group type   No. 65

Cell lengths 2.928, 4.663, 4.663 Å; angles 103.99, 90.00, 90.00 degrees
Fractional positions:
Pt1 0.000 0.000 0.500
Pt2 0.000 0.500 0.000
In1 0.500 0.000 0.000
Li1 0.500 0.500 0.500